Record 1
# LiHfAuSe3

A relaxed structure of LiHfAuSe3 (PBE, OQMD via LeMat-Bulk).

```
LiHfAuSe3
1.0
-4.005 -11.967 -2.059
0.023 -0.655 3.762
-10.073 3.263 0.630
Se Hf Au Li
12 4 4 4
Cartesian
-11.240 -5.239 2.064
-2.870 -1.557 2.653
-7.153 -9.346 -0.614
-5.343 -7.388 1.653
-9.922 1.586 1.306
-6.903 -0.012 2.947
-2.816 -4.119 0.269
-8.712 -1.971 0.679
-8.064 -5.648 0.035
-11.185 -7.802 -0.321
-4.133 -10.944 1.027
-5.991 -3.710 2.298
-12.253 -9.715 1.291
-5.264 -5.154 0.104
-1.803 0.357 1.042
-8.791 -4.205 2.229
-3.035 -6.348 1.820
-9.957 -9.987 -0.709
-11.020 -3.010 0.512
-4.099 0.629 3.041
-5.340 -1.297 0.776
-8.715 -8.061 1.557
-10.637 -0.807 2.831
-3.418 -8.552 -0.499
```

The calculation puts the raw total energy at -124.62 eV/cell. The calculation puts the volume at 21.6 Å³/atom. As for the total moment: 0.01 μB/cell.

=====

Record 2
# Sr2AgGe2

A relaxed structure of Sr2AgGe2 (PBE, OQMD via LeMat-Bulk).

```
Sr2AgGe2
1.0
2.690 3.172 4.135
-5.448 1.287 1.750
1.408 -5.685 -0.311
Ge Sr Ag
2 2 1
Cartesian
-1.813 2.932 3.869
-0.945 1.528 2.016
-2.709 -1.084 2.191
1.359 -0.141 3.383
0.000 0.000 0.000
```

The calculation puts the raw total energy at -16.27 eV/cell. The calculation puts the volume at 29.7 Å³/atom.

=====

Record 3
# HoScNi

A relaxed structure of HoScNi (PBE, OQMD via LeMat-Bulk).

```
HoScNi
1.0
-2.215 -0.839 3.916
-2.072 3.415 2.235
-4.570 0.206 0.134
Sc Ni Ho
1 1 1
Cartesian
-6.642 2.086 4.714
0.000 0.000 0.000
-2.214 0.695 1.571
```

The calculation puts the volume at 22.6 Å³/atom. As for the total moment: 0.00 μB/cell. The value obtained for the formation enthalpy at 0 K is -0.52 eV/f.u.

=====

Record 4
# NaIn2Hg2

A relaxed structure of NaIn2Hg2 (PBE, OQMD via LeMat-Bulk).

```
NaIn2Hg2
1.0
3.251 -3.251 0.000
3.251 3.251 0.000
-3.251 0.000 6.640
Hg In Na
2 2 1
Cartesian
3.251 0.000 1.384
0.000 0.000 5.256
1.626 -1.626 3.320
1.626 1.626 3.320
0.000 0.000 0.000
```

The calculation puts the raw total energy at -7.77 eV/cell. The calculation puts the volume at 28.1 Å³/atom.

=====

Record 5
# Mg2Te2PdF2

A relaxed structure of Mg2Te2PdF2 (PBE, OQMD via LeMat-Bulk).

```
Mg2Te2PdF2
1.0
2.510 -2.510 0.000
2.510 2.510 0.000
0.000 0.000 9.978
F Pd Te Mg
2 1 2 2
Cartesian
2.510 0.000 4.989
0.000 0.000 4.989
2.510 0.000 0.000
1.255 -1.255 1.972
1.255 1.255 8.007
1.255 1.255 3.834
1.255 -1.255 6.145
```

The calculation puts the raw total energy at -29.38 eV/cell. The calculation puts the volume at 18.0 Å³/atom.

=====

Record 6
# Sc2Ni2BiAs

A relaxed structure of Sc2Ni2BiAs (PBE, OQMD via LeMat-Bulk).

```
Sc2Ni2BiAs
1.0
8.610 0.000 0.000
0.000 5.096 0.000
-4.124 0.000 10.131
Ni Sc Bi As
8 8 4 4
Cartesian
3.436 0.000 6.473
-0.810 0.000 7.195
-0.796 0.000 3.044
0.750 2.548 1.161
5.292 2.548 0.585
0.765 2.548 3.640
3.667 0.000 3.835
5.199 2.548 4.511
3.490 0.000 9.772
0.956 0.000 5.067
4.973 2.548 7.564
3.413 2.548 2.484
7.022 2.548 2.524
1.336 2.548 8.034
4.201 0.000 0.021
5.927 0.000 5.146
-0.972 2.548 5.673
1.515 0.000 1.945
-1.284 2.548 9.591
2.827 2.548 5.393
5.551 0.000 2.342
1.474 0.000 7.837
-3.179 0.000 7.894
3.392 2.548 9.847
```

The calculation puts the raw total energy at -143.15 eV/cell. The calculation puts the volume at 18.5 Å³/atom. As for the total moment: 0.00 μB/cell.

=====

Record 7
# CsLiTcSe3

A relaxed structure of CsLiTcSe3 (PBE, OQMD via LeMat-Bulk).

```
CsLiTcSe3
1.0
16.081 0.000 0.000
0.000 3.903 0.000
0.000 0.000 10.314
Cs Se Li Tc
4 12 4 4
Cartesian
12.324 0.976 4.673
3.757 2.927 5.641
4.283 0.976 0.484
11.797 2.927 9.830
6.776 2.927 8.889
9.304 0.976 1.425
1.231 2.927 0.715
14.243 2.927 2.289
1.264 0.976 3.732
14.850 0.976 9.599
9.271 2.927 4.442
14.817 2.927 6.581
6.202 2.927 2.868
9.878 0.976 7.446
6.810 0.976 5.872
1.838 0.976 8.024
8.266 0.976 9.321
0.226 0.976 6.150
7.815 2.927 0.993
15.855 2.927 4.164
8.254 2.927 6.822
7.826 0.976 3.492
15.866 0.976 1.665
0.214 2.927 8.649
```

The calculation puts the raw total energy at -110.90 eV/cell. The calculation puts the volume at 27.0 Å³/atom. As for the total moment: 11.19 μB/cell.

=====

Record 8
# AlHg5O4

A relaxed structure of AlHg5O4 (PBE, OQMD via LeMat-Bulk).

```
AlHg5O4
1.0
3.185 0.041 -0.013
1.740 6.267 0.017
0.055 1.148 9.177
Hg O Al
5 4 1
Cartesian
2.493 4.845 3.723
2.408 2.237 2.643
3.172 1.291 5.703
0.815 1.170 0.318
2.467 4.731 0.670
2.528 4.723 6.286
1.037 2.380 7.057
4.147 4.575 8.730
4.090 6.594 4.082
4.130 4.221 6.973
```

The calculation puts the raw total energy at -32.93 eV/cell. The calculation puts the volume at 18.2 Å³/atom.

=====

Record 9
# Y4Zn3Mo2N3

A relaxed structure of Y4Zn3Mo2N3 (PBE, OQMD via LeMat-Bulk).

```
Y4Zn3Mo2N3
1.0
5.038 -2.935 0.000
5.038 2.935 0.000
-3.479 0.000 13.567
N Y Mo Zn
6 8 4 6
Cartesian
2.519 1.468 0.000
4.214 -1.443 0.002
2.383 1.443 13.566
4.123 -1.443 6.782
2.475 1.443 6.785
0.780 -1.468 6.784
5.759 -0.451 12.156
-0.988 -0.520 12.151
0.838 0.451 1.411
7.585 0.520 1.416
-0.901 -0.451 8.195
5.846 -0.520 8.200
0.752 0.520 5.368
7.499 0.451 5.373
4.173 0.496 0.893
2.424 -0.496 12.675
4.164 0.496 5.891
2.434 -0.496 7.676
2.925 -0.230 3.421
2.429 -1.933 10.175
5.412 -0.230 3.363
1.185 0.230 10.205
3.673 0.230 10.146
4.168 1.933 3.392
```

The calculation puts the raw total energy at -170.38 eV/cell. The calculation puts the volume at 16.7 Å³/atom. As for the total moment: 0.03 μB/cell.

=====

Record 10
# LiNbHgPt

A relaxed structure of LiNbHgPt (PBE, OQMD via LeMat-Bulk).

```
LiNbHgPt
1.0
0.000 3.210 3.210
3.210 0.000 3.210
3.210 3.210 0.000
Nb Hg Pt Li
1 1 1 1
Cartesian
0.000 0.000 0.000
1.605 1.605 1.605
3.210 3.210 3.210
4.816 4.816 4.816
```

The calculation puts the raw total energy at -18.02 eV/cell. The calculation puts the volume at 16.5 Å³/atom. As for the total moment: 0.00 μB/cell.

=====

Record 11
# LuHfCuAs

A relaxed structure of LuHfCuAs (PBE, OQMD via LeMat-Bulk).

```
LuHfCuAs
1.0
0.000 3.367 3.367
3.367 0.000 3.367
3.367 3.367 0.000
Hf Cu Lu As
1 1 1 1
Cartesian
1.684 1.684 1.684
5.051 5.051 5.051
3.367 3.367 3.367
0.000 0.000 0.000
```

The calculation puts the raw total energy at -21.91 eV/cell. The calculation puts the volume at 19.1 Å³/atom. As for the total moment: 0.02 μB/cell.

=====

Record 12
# TbTmGeCl2

A relaxed structure of TbTmGeCl2 (PBE, OQMD via LeMat-Bulk).

```
TbTmGeCl2
1.0
4.059 0.000 0.000
-2.029 3.515 0.000
0.000 0.000 9.585
Cl Tb Tm Ge
2 1 1 1
Cartesian
2.029 1.172 7.972
0.000 2.343 1.648
0.000 2.343 6.395
2.029 1.172 3.186
0.000 0.000 4.760
```

The calculation puts the raw total energy at -25.52 eV/cell. The calculation puts the volume at 27.3 Å³/atom. As for the total moment: 0.00 μB/cell.

=====

Record 13
# PmZrCd

A relaxed structure of PmZrCd (PBE, OQMD via LeMat-Bulk).

```
PmZrCd
1.0
4.003 -2.956 0.797
-0.499 -4.257 2.651
0.336 -4.464 -2.315
Cd Pm Zr
1 1 1
Cartesian
0.960 -2.919 0.283
0.000 0.000 0.000
2.881 -8.758 0.850
```

The calculation puts the volume at 30.2 Å³/atom. As for the total moment: 1.39 μB/cell. The value obtained for the formation enthalpy at 0 K is 2.56 eV/f.u.

=====

Record 14
# RbPrAl

A relaxed structure of RbPrAl (PBE, OQMD via LeMat-Bulk).

```
RbPrAl
1.0
-4.509 -2.969 -0.909
-4.433 0.728 3.128
-4.466 2.376 -2.092
Al Rb Pr
1 1 1
Cartesian
-3.352 0.034 0.032
-10.056 0.101 0.095
0.000 0.000 0.000
```

The calculation puts the raw total energy at -7.33 eV/cell. The calculation puts the volume at 38.7 Å³/atom. As for the total moment: 0.22 μB/cell.

=====

Record 15
# ScFeSnAu

A relaxed structure of ScFeSnAu (PBE, OQMD via LeMat-Bulk).

```
ScFeSnAu
1.0
-3.578 -2.636 1.404
-3.788 -0.410 -2.685
-0.907 -4.034 -2.151
Fe Sn Sc Au
1 1 1 1
Cartesian
-6.205 -5.310 -2.573
0.000 0.000 0.000
-4.136 -3.540 -1.715
-2.068 -1.770 -0.858
```

The calculation puts the raw total energy at -22.94 eV/cell. The calculation puts the volume at 17.9 Å³/atom. As for the total moment: 1.78 μB/cell.

=====

Record 16
# CuNi3Pb5

A relaxed structure of CuNi3Pb5 (PBE, OQMD via LeMat-Bulk).

```
CuNi3Pb5
1.0
5.372 0.000 0.000
-2.686 4.652 0.000
0.000 0.000 7.959
Ni Pb Cu
3 5 1
Cartesian
1.343 2.326 3.979
-1.343 2.326 3.979
2.686 0.000 3.979
0.000 0.000 3.979
0.000 3.101 6.329
0.000 3.101 1.630
2.686 1.551 6.329
2.686 1.551 1.630
0.000 0.000 0.000
```

The calculation puts the raw total energy at -36.77 eV/cell. The calculation puts the volume at 22.1 Å³/atom. As for the total moment: 0.02 μB/cell.

=====

Record 17
# GdErCd2Au4

A relaxed structure of GdErCd2Au4 (PBE, OQMD via LeMat-Bulk).

```
GdErCd2Au4
1.0
4.931 0.000 0.000
0.000 4.931 0.000
0.000 0.000 6.970
Au Cd Er Gd
4 2 1 1
Cartesian
2.465 0.000 5.189
0.000 2.465 5.189
2.465 0.000 1.780
0.000 2.465 1.780
2.465 2.465 3.485
0.000 0.000 0.000
0.000 0.000 3.485
2.465 2.465 0.000
```

The calculation puts the volume at 21.2 Å³/atom. As for the total moment: 0.00 μB/cell. The value obtained for the formation enthalpy at 0 K is -5.42 eV/f.u.

=====

Record 18
# ErThCo

A relaxed structure of ErThCo (PBE, OQMD via LeMat-Bulk).

```
ErThCo
1.0
-4.380 -3.678 -0.342
2.332 -2.568 -2.240
3.774 -1.330 5.452
Co Er Th
2 2 2
Cartesian
2.551 -5.539 3.297
-0.826 -2.037 -0.427
-2.857 -4.408 0.177
4.583 -3.168 2.693
1.100 -3.357 3.090
0.626 -4.219 -0.220
```

The calculation puts the volume at 25.0 Å³/atom. As for the total moment: 0.01 μB/cell. The value obtained for the formation enthalpy at 0 K is -0.57 eV/f.u.

=====

Record 19
# DyHg2O4

A relaxed structure of DyHg2O4 (PBE, OQMD via LeMat-Bulk).

```
DyHg2O4
1.0
4.067 5.325 1.124
-1.949 -1.511 -6.331
-4.498 2.502 4.434
O Hg Dy
8 4 2
Cartesian
-4.832 1.748 -0.685
-0.664 3.107 -2.425
-1.820 5.096 2.992
-2.622 0.541 -2.968
-3.893 2.477 2.365
-2.873 4.314 -0.143
0.346 3.889 0.856
-1.727 1.271 0.228
-2.748 2.428 -1.555
-1.773 3.183 1.610
-0.499 1.176 -3.772
0.260 5.846 2.172
0.951 3.864 -1.214
0.000 0.000 0.000
```

The calculation puts the raw total energy at -66.02 eV/cell. The calculation puts the volume at 15.8 Å³/atom. As for the total moment: 2.00 μB/cell.

=====

Record 20
# Y2Co2B2CN

A relaxed structure of Y2Co2B2CN (PBE, OQMD via LeMat-Bulk).

```
Y2Co2B2CN
1.0
-2.431 1.818 1.787
-2.463 -1.036 -2.296
-1.414 -6.078 4.260
B Co N C Y
2 2 1 1 2
Cartesian
-2.937 -1.716 1.223
-0.919 -3.947 2.766
-1.935 -3.541 0.971
-1.919 -2.114 3.013
-2.661 -0.529 0.391
-1.204 -5.174 3.627
-3.631 -4.698 3.313
-0.239 -1.027 0.720
```

The calculation puts the raw total energy at -64.07 eV/cell. The calculation puts the volume at 11.7 Å³/atom. As for the total moment: 0.12 μB/cell.